# ZrCrOs2

Crystalline ZrCrOs2 at its relaxed geometry (GGA-PBE, the Alexandria database).

Geometry as CIF:
```
data_ZrCrOs2
_chemical_formula_sum 'Zr1 Cr1 Os2'
_space_group_name_H-M_alt 'P 1'
_space_group_IT_number 1
_cell_length_a 4.192
_cell_length_b 2.772
_cell_length_c 5.536
_cell_angle_alpha 76.11
_cell_angle_beta 90.00
_cell_angle_gamma 90.00
loop_
_space_group_symop_operation_xyz
'x,y,z'
loop_
_atom_site_label
_atom_site_fract_x
_atom_site_fract_y
_atom_site_fract_z
_atom_site_occupancy
Cr1 0.500 0.704 0.789 1
Os1 0.000 0.961 0.978 1
Os2 0.500 0.310 0.234 1
Zr1 0.000 0.525 0.499 1
```

- spin magnetization (μB/f.u.) = 0.0
- formation energy (kcal/mol of atoms) = 4.0